[1]
Material: InGa4Rh
Method: DFT, PBE-GGA
State: relaxed

a b c (Å): 5.5397 7.0916 7.8608
angles (deg): 109.30 101.42 110.01
Atoms (fractional coordinates):
Rh  0.2646  0.0146  0.0292
Rh  0.7354  0.9854  0.9708
In  0.4315  0.6815  0.3630
In  0.5685  0.3185  0.6370
Ga  0.8453  0.7580  0.6939
Ga  0.3486  0.9359  0.6939
Ga  0.8907  0.7261  0.0747
Ga  0.6839  0.3486  0.0747
Ga  0.3161  0.6514  0.9253
Ga  0.6514  0.0641  0.3061
Ga  0.1547  0.2420  0.3061
Ga  0.1093  0.2739  0.9253

Summary:
electronic total energy	-3.85	eV/atom
relative energy among the computed polymorphs	0.03	eV per formula unit
energy relative to the elements	-3.4	kcal/mol of atoms
size of the total moment	0.0	μB/f.u.

=====

[2]
Material: TiAl3Sb
Method: DFT, PBE-GGA
State: relaxed

a b c (Å): 5.0086 5.0086 5.0086
angles (deg): 90.00 90.00 90.00
Atoms (fractional coordinates):
Al  0.5000  0.0000  0.0000
Al  0.0000  0.0000  0.5000
Al  0.0000  0.5000  0.0000
Ti  0.0000  0.0000  0.0000
Sb  0.5000  0.5000  0.5000

Summary:
electronic total energy	-3.87	eV/atom
uncorrected formation energy	0.779	eV/atom
relative energy among the computed polymorphs	0.00	eV per formula unit
size of the total moment	0.2	μB/f.u.

=====

Repeat the second record exactly.
Material: TiAl3Sb
Method: DFT, PBE-GGA
State: relaxed

a b c (Å): 5.0086 5.0086 5.0086
angles (deg): 90.00 90.00 90.00
Atoms (fractional coordinates):
Al  0.5000  0.0000  0.0000
Al  0.0000  0.0000  0.5000
Al  0.0000  0.5000  0.0000
Ti  0.0000  0.0000  0.0000
Sb  0.5000  0.5000  0.5000

Summary:
electronic total energy	-3.87	eV/atom
uncorrected formation energy	0.779	eV/atom
relative energy among the computed polymorphs	0.00	eV per formula unit
size of the total moment	0.2	μB/f.u.